No. 1
# La5Cd (PBEsol, optimized geometry)
data_La5Cd
_chemical_formula_sum 'La10 Cd2'
_symmetry_space_group_name_H-M 'C m m m'
_symmetry_Int_Tables_number 65
_symmetry_space_group_name_Hall '-C 2 2'
_cell_length_a 4.929
_cell_length_b 14.964
_cell_length_c 5.052
_cell_angle_alpha 90.00
_cell_angle_beta 90.00
_cell_angle_gamma 90.00
loop_
_atom_site_label
_atom_site_fract_x
_atom_site_fract_y
_atom_site_fract_z
La1 0.000 0.000 0.000
La2 0.000 0.171 0.500
La3 0.000 0.340 0.000
Cd1 0.000 0.500 0.500
# Total moment = 0.00 μB per formula unit
# ΔE_f = -0.0731 eV per atom
# ΔE to the lowest computed polymorph = 29 meV/atom


No. 2
# Li2La2Cd (PBEsol, optimized geometry)
data_Li2La2Cd
_chemical_formula_sum 'Li4 La4 Cd2'
_symmetry_space_group_name_H-M 'P 4/m b m'
_symmetry_Int_Tables_number 127
_symmetry_space_group_name_Hall '-P 4 2ab'
_cell_length_a 6.874
_cell_length_b 6.874
_cell_length_c 5.242
_cell_angle_alpha 90.00
_cell_angle_beta 90.00
_cell_angle_gamma 90.00
loop_
_atom_site_label
_atom_site_fract_x
_atom_site_fract_y
_atom_site_fract_z
Li1 0.133 0.367 0.000
La1 0.178 0.678 0.500
Cd1 0.000 0.000 0.000
# Total moment = 0.00 μB per formula unit
# ΔE_f = -0.0563 eV per atom